(1)
PuNp3N4 (PBE-GGA, optimized geometry); symmetry = Cmmm, No. 65; raw formation energy = -107 kJ/mol of atoms; magnetization = 8.02 Bohr magnetons per cell
1.0
3.4438 0.0000 0.0000
0.0000 5.6568 -1.9410
0.0000 -0.0585 5.9803
N Pu Np
4 1 3
Direct
0.0000 0.7458 0.7458
0.0000 0.2542 0.2542
0.5000 0.7493 0.2507
0.5000 0.2507 0.7493
0.5000 0.0000 0.0000
0.5000 0.5000 0.5000
0.0000 0.5000 0.0000
0.0000 0.0000 0.5000


(2)
SrCaY2Fe (PBE-GGA, optimized geometry); calculated formation energy = 0.1499 eV per atom; symmetry = P4/mmm, No. 123; magnetization = 0.49 Bohr magnetons per cell
1.0
-2.6931 4.5383 -0.5568
-4.2334 -2.2307 2.2938
1.8994 1.7682 5.2250
Y Fe Ca Sr
2 1 1 1
Direct
0.5000 0.0000 0.0000
0.0000 0.5000 0.0000
0.0000 0.0000 0.0000
0.0000 0.0000 0.5000
0.5000 0.5000 0.5000


(3)
Ac2DySi3Pd4 (PBE-GGA, optimized geometry); symmetry = P-4m2, No. 115; raw formation energy = -82 kJ/mol of atoms; magnetization = 0.00 Bohr magnetons per cell
1.0
4.3847 0.0000 0.0000
0.0000 4.3847 0.0000
0.0000 0.0000 10.9992
Dy Pd Si Ac
1 4 3 2
Direct
0.5000 0.5000 0.5000
0.5000 0.5000 0.0000
0.0000 0.0000 0.0000
0.0000 0.5000 0.3416
0.5000 0.0000 0.6584
0.0000 0.0000 0.5000
0.0000 0.5000 0.1145
0.5000 0.0000 0.8855
0.5000 0.0000 0.2299
0.0000 0.5000 0.7701


(4)
FeCoMo2 (PBE-GGA, optimized geometry); calculated formation energy = 0.1495 eV per atom; symmetry = Cm, No. 8; magnetization = 1.46 Bohr magnetons per cell
1.0
4.5829 0.0072 -0.0033
3.8123 2.5435 -0.0033
0.7556 0.2296 4.5674
Fe Mo Co
1 2 1
Direct
0.2382 0.2382 0.2430
0.9927 0.9927 0.0314
0.7606 0.7606 0.7140
0.5085 0.5085 0.5115


(5)
CsSnAs2 (PBE-GGA, optimized geometry); calculated formation energy = -0.0426 eV per atom; symmetry = R-3m, No. 166; magnetization = 0.00 Bohr magnetons per cell
1.0
-0.3802 3.9976 -0.0809
-3.3595 1.6691 -1.4350
-4.8290 1.7139 7.6782
Cs As Sn
1 2 1
Direct
0.5000 0.5000 0.5000
0.7265 0.7265 0.8204
0.2735 0.2735 0.1796
0.0000 0.0000 0.0000


(6)
In2CoOs (PBE-GGA, optimized geometry); calculated formation energy = 0.9551 eV per atom; symmetry = I-42d, No. 122; magnetization = 1.10 Bohr magnetons per cell
1.0
-1.3440 3.7176 0.6266
-3.5940 -1.0625 -1.4050
-5.1084 -1.0702 8.1754
In Os Co
4 2 2
Direct
0.1290 0.6250 0.2500
0.6210 0.1250 0.2500
0.8750 0.8710 0.7500
0.3750 0.3790 0.7500
0.7500 0.2500 0.5000
0.0000 0.0000 0.0000
0.2500 0.7500 0.5000
0.5000 0.5000 0.0000


(7)
Si4AsSe (PBE-GGA, optimized geometry); symmetry = F-43m, No. 216; raw formation energy = 60 kJ/mol of atoms; magnetization = 0.00 Bohr magnetons per cell
1.0
0.0000 3.6977 3.6977
3.6977 0.0000 3.6977
3.6977 3.6977 0.0000
Si As Se
4 1 1
Direct
0.8749 0.3750 0.3750
0.3750 0.3750 0.3750
0.3750 0.3750 0.8749
0.3750 0.8749 0.3750
0.7500 0.7500 0.7500
0.0000 0.0000 0.0000


(8)
PmSmSnPd (PBE-GGA, optimized geometry); calculated formation energy = -0.6989 eV per atom; symmetry = F-43m, No. 216; magnetization = 0.15 Bohr magnetons per cell
1.0
-1.5678 -4.8205 -1.4736
-1.1471 -3.6340 3.6530
-5.0064 -1.4934 0.7564
Sm Sn Pm Pd
1 1 1 1
Direct
0.0000 0.0000 0.0000
0.7500 0.7500 0.7500
0.5000 0.5000 0.5000
0.2500 0.2500 0.2500


(9)
MnHgPd2 (PBE-GGA, optimized geometry); calculated formation energy = 0.2556 eV per atom; symmetry = Immm, No. 71; magnetization = 4.36 Bohr magnetons per cell
1.0
-4.9975 -0.9098 -3.2097
3.2268 -3.4601 3.7040
2.9230 1.9391 4.8785
Hg Pd Mn
1 2 1
Direct
0.0000 0.5000 0.5000
0.0000 0.7652 0.7652
0.0000 0.2348 0.2348
0.0000 0.0000 0.0000


(10)
Th3Mg3Cd8 (PBE-GGA, optimized geometry); calculated formation energy = -0.1345 eV per atom; symmetry = Immm, No. 71; magnetization = 0.00 Bohr magnetons per cell
1.0
4.8913 0.0000 0.0000
2.4457 8.6446 0.3160
2.4457 2.6576 8.2320
Th Cd Mg
3 8 3
Direct
0.2131 0.7869 0.7869
0.7869 0.2131 0.2131
0.5000 0.5000 0.5000
0.3583 0.9279 0.3554
0.3583 0.3554 0.9279
0.1528 0.2081 0.4863
0.8472 0.5137 0.7919
0.1528 0.4863 0.2081
0.8472 0.7919 0.5137
0.6417 0.6446 0.0721
0.6417 0.0721 0.6446
0.0000 0.1769 0.8231
0.5000 0.0000 0.0000
0.0000 0.8231 0.1769


(11)
RbTlGe (PBE-GGA, optimized geometry); calculated formation energy = 0.0519 eV per atom; symmetry = Cmce, No. 64; magnetization = 0.00 Bohr magnetons per cell
1.0
7.1733 0.0000 0.0000
-3.5866 4.8732 0.0000
0.0000 0.0000 11.8092
Ge Rb Tl
4 4 4
Direct
0.3942 0.7884 0.4463
0.6058 0.2116 0.5537
0.1058 0.2116 0.9463
0.8942 0.7884 0.0537
0.6280 0.7561 0.7500
0.3720 0.2439 0.2500
0.1280 0.7561 0.7500
0.8720 0.2439 0.2500
0.6391 0.2782 0.9397
0.3609 0.7218 0.0603
0.1391 0.2782 0.5603
0.8609 0.7218 0.4397


(12)
Ta2SnOs (PBE-GGA, optimized geometry); calculated formation energy = 1.3380 eV per atom; symmetry = I-42d, No. 122; magnetization = 0.00 Bohr magnetons per cell
1.0
-5.7577 2.0064 0.0663
-1.0223 -3.1036 5.1482
-1.6885 4.2279 5.8246
Os Ta Sn
2 4 2
Direct
0.7500 0.2500 0.5000
0.0000 0.0000 0.0000
0.6684 0.1250 0.2500
0.8750 0.9184 0.7500
0.3750 0.3316 0.7500
0.0816 0.6250 0.2500
0.5000 0.5000 0.0000
0.2500 0.7500 0.5000